VASP calculation (GGA-PBEsol) on crystalline NbSiPd at its relaxed geometry.

Summary:
calculated density	8.47	g cm⁻³
E	-8.27	eV per atom
formation energy from raw total energies	-0.76	eV per atom

abc: 6.414 3.748 7.415
angles: 90.00 90.00 90.00
Space group Pnma (No. 62)
Asymmetric unit:
Nb1 0.027 0.250 0.165 [4 per cell]
Si1 0.231 0.750 0.370 [4 per cell]
Pd1 0.148 0.250 0.562 [4 per cell]